This record from Alexandria describes a relaxed structure of CaSn3Pb. The functional is GGA-PBE.

The calculation puts the formation energy at 0.5 eV per formula unit.

The space group is P-1 (No. 2) and the conventional cell measures 6.077, 6.179 and 6.587 Å, with angles of 62.21, 62.75 and 87.75 degrees. The asymmetric unit holds Ca at (0.000, 0.000, 0.000), Sn at (0.000, 0.000, 0.500), Sn at (0.000, 0.500, 0.500), Sn at (0.500, 0.000, 0.500) and Pb at (0.500, 0.500, 0.500).



This record from Alexandria describes a relaxed structure of Ca3SnPb3. The functional is GGA-PBE.

The calculation puts the formation energy at -2.8 eV per formula unit.

The space group is P2_13 (No. 198) and the conventional cell measures 9.596, 9.596 and 9.596 Å, with angles of 90.00, 90.00 and 90.00 degrees. The asymmetric unit holds Ca at (0.037, 0.303, 0.871), Sn at (0.132, 0.632, 0.868), Pb at (0.050, 0.450, 0.550), Pb at (0.151, 0.849, 0.349) and Pb at (0.174, 0.174, 0.174).



This record from Alexandria describes a relaxed structure of CaSn2Pb2. The functional is GGA-PBE.

The calculation puts the formation energy at -0.9 eV per formula unit.

The space group is P4/mbm (No. 127) and the conventional cell measures 8.392, 8.392 and 4.429 Å, with angles of 90.00, 90.00 and 90.00 degrees. The asymmetric unit holds Ca at (0.000, 0.000, 0.000), Sn at (0.127, 0.373, 0.000) and Pb at (0.160, 0.660, 0.500).



This record from Alexandria describes a relaxed structure of Ca4Sn12Pb. The functional is GGA-PBE.

The calculation puts the formation energy at -4.4 eV per formula unit.

The space group is Im-3m (No. 229) and the conventional cell measures 9.998, 9.998 and 9.998 Å, with angles of 90.00, 90.00 and 90.00 degrees. The asymmetric unit holds Ca at (0.250, 0.250, 0.250), Sn at (0.000, 0.000, 0.312), Sn at (0.000, 0.250, 0.500) and Pb at (0.000, 0.000, 0.000).



This record from Alexandria describes a relaxed structure of Ca5SnPb2. The functional is GGA-PBE.

The calculation puts the formation energy at -4.4 eV per formula unit.

The space group is I4/mcm (No. 140) and the conventional cell measures 8.239, 8.239 and 15.422 Å, with angles of 90.00, 90.00 and 90.00 degrees. The asymmetric unit holds Ca at (0.000, 0.000, 0.000), Ca at (0.173, 0.327, 0.145), Sn at (0.000, 0.000, 0.250) and Pb at (0.130, 0.370, 0.500).



This record from Alexandria describes a relaxed structure of CaSn6Pb. The functional is GGA-PBE.

The calculation puts the formation energy at -1.1 eV per formula unit.

The space group is Amm2 (No. 38) and the conventional cell measures 4.919, 9.430 and 9.738 Å, with angles of 90.00, 90.00 and 90.00 degrees. The asymmetric unit holds Ca at (0.000, 0.000, 0.000), Sn at (0.000, 0.241, 0.257), Sn at (0.500, 0.000, 0.248), Sn at (0.500, 0.000, 0.746), Sn at (0.500, 0.246, 0.476) and Pb at (0.000, 0.000, 0.524).



formation energy of number 2 (Ca3SnPb3)? -2.8 eV per formula unit